Entry 1:
Below is a relaxed BaFeO3 crystal, with properties calculated at the GGA+U level.

a b c (Å): 7.4635 7.4635 7.4635
angles (deg): 60.00 60.00 60.00
Fractional coordinates of all 20 atoms:
Ba  0.6250  0.6250  0.6250
Ba  0.6250  0.1250  0.6250
Ba  0.1250  0.6250  0.6250
Ba  0.6250  0.6250  0.1250
O  0.8039  0.1961  0.1961
O  0.0539  0.4461  0.4461
O  0.4461  0.4461  0.0539
O  0.4461  0.0539  0.0539
O  0.0539  0.4461  0.0539
O  0.8039  0.1961  0.8039
O  0.4461  0.0539  0.4461
O  0.0539  0.0539  0.4461
O  0.1961  0.8039  0.1961
O  0.1961  0.8039  0.8039
O  0.1961  0.1961  0.8039
O  0.8039  0.8039  0.1961
Fe  0.1250  0.1250  0.1250
Fe  0.1250  0.6250  0.1250
Fe  0.6250  0.1250  0.1250
Fe  0.1250  0.1250  0.6250

***

Entry 2:
Below is a relaxed LiVZn2O4 crystal, with properties calculated at the GGA+U level.

a b c (Å): 4.5979 4.5979 5.6276
angles (deg): 114.11 114.11 90.00
Fractional coordinates of all 8 atoms:
Li  0.5000  0.5000  0.0001
V  0.0000  0.0000  0.0000
Zn  0.7500  0.2500  0.5001
Zn  0.2500  0.7500  0.5001
O  0.6339  0.6339  0.7538
O  0.3661  0.8802  0.2463
O  0.8802  0.3661  0.2463
O  0.1199  0.1199  0.7538

***

For each record above, in turn, the calculated M_tot values are 0.797 0.250 μB/atom.
For each record above, in turn, the calculated electronic total energy values are -119.43 -45.26 eV for the cell shown.